No. 1
Density functional theory data (PBE) for a relaxed HgRh3 crystal.

abc: 4.6107 4.8554 5.6368
angles: 90.00 90.00 90.00
Sites, in units of the cell vectors:
Rh (0.5000, 0.1563, 0.2461)
Rh (0.0000, 0.8437, 0.2539)
Rh (0.0000, 0.8437, 0.7461)
Rh (0.5000, 0.6772, 0.0000)
Rh (0.0000, 0.3228, 0.5000)
Rh (0.5000, 0.1563, 0.7539)
Hg (0.0000, 0.3424, 0.0000)
Hg (0.5000, 0.6576, 0.5000)

Calculated values
As for the size of the total moment: 0.000 μB per formula unit. For the formation energy, the calculation gives 0.219 eV/atom. As for the total DFT energy (no corrections): -5.3702 eV per atom. The density of states at the Fermi level is 12.357 states/eV/cell. As for the calculated density: 13.40 g/cm³.


No. 2
Density functional theory data (PBE) for a relaxed RbBeV3 crystal.

abc: 4.7677 4.7677 4.7677
angles: 90.00 90.00 90.00
Sites, in units of the cell vectors:
V (0.0000, 0.5000, 0.0000)
V (0.0000, 0.0000, 0.5000)
V (0.5000, 0.0000, 0.0000)
Rb (0.5000, 0.5000, 0.5000)
Be (0.0000, 0.0000, 0.0000)

Calculated values
As for the size of the total moment: 10.030 μB per formula unit. For the formation energy, the calculation gives 1.472 eV/atom. The offset from the most stable computed form comes out at 0 meV per atom. As for the total DFT energy (no corrections): -4.9377 eV per atom. The density of states at the Fermi level is 10.515 states/eV/cell. As for the calculated density: 3.79 g/cm³.


No. 3
Density functional theory data (PBE) for a relaxed Pm2DyHo6Tm3 crystal.

abc: 6.1254 6.1254 11.7156
angles: 94.99 94.99 119.95
Sites, in units of the cell vectors:
Ho (0.4181, 0.0852, 0.2535)
Ho (0.5819, 0.9148, 0.7465)
Ho (0.9148, 0.5819, 0.7465)
Ho (0.0852, 0.4181, 0.2535)
Ho (0.2475, 0.2475, 0.7464)
Ho (0.7525, 0.7525, 0.2536)
Pm (0.3333, 0.6667, 0.0000)
Pm (0.6667, 0.3333, 0.0000)
Tm (0.1665, 0.8335, 0.5000)
Tm (0.5000, 0.5000, 0.5000)
Tm (0.8335, 0.1665, 0.5000)
Dy (0.0000, 0.0000, 0.0000)

Calculated values
As for the size of the total moment: 0.000 μB per formula unit. For the formation energy, the calculation gives 0.021 eV/atom. As for the total DFT energy (no corrections): -4.5613 eV per atom. The density of states at the Fermi level is 16.160 states/eV/cell. As for the calculated density: 8.63 g/cm³.


No. 4
Density functional theory data (PBE) for a relaxed BeSiAu crystal.

abc: 4.3083 4.3083 4.3083
angles: 131.78 131.75 70.60
Sites, in units of the cell vectors:
Be (0.3395, 0.3395, 0.0000)
Si (0.6555, 0.6555, 0.0000)
Au (0.0050, 0.0050, 0.0000)

Calculated values
Its uncorrected formation energy is 161 meV/atom. As for the size of the total moment: 0.000 μB per formula unit. The offset from the most stable computed form comes out at 177 meV per atom. As for the total DFT energy (no corrections): -3.9814 eV per atom. The density of states at the Fermi level is 1.022 states/eV/cell. As for the calculated density: 8.92 g/cm³.


calculated density of number 3 (Pm2DyHo6Tm3)?
8.63 g/cm³


What did the third record say?
Density functional theory data (PBE) for a relaxed Pm2DyHo6Tm3 crystal.

abc: 6.1254 6.1254 11.7156
angles: 94.99 94.99 119.95
Sites, in units of the cell vectors:
Ho (0.4181, 0.0852, 0.2535)
Ho (0.5819, 0.9148, 0.7465)
Ho (0.9148, 0.5819, 0.7465)
Ho (0.0852, 0.4181, 0.2535)
Ho (0.2475, 0.2475, 0.7464)
Ho (0.7525, 0.7525, 0.2536)
Pm (0.3333, 0.6667, 0.0000)
Pm (0.6667, 0.3333, 0.0000)
Tm (0.1665, 0.8335, 0.5000)
Tm (0.5000, 0.5000, 0.5000)
Tm (0.8335, 0.1665, 0.5000)
Dy (0.0000, 0.0000, 0.0000)

Calculated values
As for the size of the total moment: 0.000 μB per formula unit. For the formation energy, the calculation gives 0.021 eV/atom. As for the total DFT energy (no corrections): -4.5613 eV per atom. The density of states at the Fermi level is 16.160 states/eV/cell. As for the calculated density: 8.63 g/cm³.